Computed, not measured: CuSnTe after structural relaxation at the PBE-GGA level of DFT.

Properties
mass density = 7.08 Mg/m³
spin magnetization = 0.0 μB per formula unit
ΔE_f (raw) = -0.049 eV per atom

a b c (Å): 4.0961 4.0961 5.0021
angles (deg): 90.00 90.00 120.00
Space group P3m1 (No. 156)
Asymmetric unit:
Cu: 0.0000 0.0000 0.0000 [1 per cell]
Sn: 0.3333 0.6667 0.2832 [1 per cell]
Te: 0.6667 0.3333 0.7623 [1 per cell]